Entry from Alexandria via LeMat-Bulk: crystalline PrErGa2 at its relaxed geometry (PBE-GGA).

```
PrErGa2
1.0
5.142 0.000 0.000
2.571 4.453 0.000
2.571 1.484 4.199
Pr Ga Er
1 2 1
Cartesian
5.142 2.969 2.099
2.571 1.484 1.050
7.714 4.453 3.149
0.000 0.000 0.000
```

N(E_F) (states/eV per atom): 0.32
Volume (A^3/atom): 24.04
Size of the total moment (μB per atom): 0.000
E_form (eV per atom): -0.5514
Total DFT energy (no corrections) (eV/cell): -17.60
Excess energy over the best structure of this formula in the dataset (eV per atom): 0.041
Space group: Fm-3m, No. 225